# 1
Compound: TlSbW
Source: the Alexandria database
Functional: PBE-GGA
Structure: relaxed Values from VASP.

```
&SYSTEM
  ibrav = 0, nat = 3, ntyp = 3
/
ATOMIC_SPECIES
Tl 204.38 Tl.upf
Sb 121.76 Sb.upf
W 183.84 W.upf
CELL_PARAMETERS angstrom
8.763 -0.030 0.023
8.052 2.941 -0.053
0.711 -0.870 2.841
ATOMIC_POSITIONS crystal
Tl 0.311 0.311 0.689
Sb 0.031 0.031 0.969
W 0.658 0.658 0.342
```

formation energy (no corrections)	0.718	eV/atom
distance to the lowest polymorph of the same formula	74	meV per atom
DOS at the Fermi energy	0.492	states/eV per atom
symmetry	No. 42
DFT total energy	-5.763	eV per atom

# 2
Compound: TlSbW2
Source: the Alexandria database
Functional: PBE-GGA
Structure: relaxed Values from VASP.

```
&SYSTEM
  ibrav = 0, nat = 4, ntyp = 3
/
ATOMIC_SPECIES
W 183.84 W.upf
Tl 204.38 Tl.upf
Sb 121.76 Sb.upf
CELL_PARAMETERS angstrom
3.364 0.000 0.000
0.000 5.000 0.000
0.000 0.000 4.635
ATOMIC_POSITIONS crystal
W 0.000 0.000 0.000
Tl 0.000 0.500 0.500
Sb 0.500 0.000 0.500
W 0.500 0.500 0.000
```

formation energy (no corrections)	1.098	eV/atom
distance to the lowest polymorph of the same formula	654	meV per atom
DOS at the Fermi energy	0.733	states/eV per atom
symmetry	No. 47
DFT total energy	-7.001	eV per atom

# 3
Compound: TlSb2W
Source: the Alexandria database
Functional: PBE-GGA
Structure: relaxed Values from VASP.

```
&SYSTEM
  ibrav = 0, nat = 4, ntyp = 3
/
ATOMIC_SPECIES
Sb 121.76 Sb.upf
Tl 204.38 Tl.upf
W 183.84 W.upf
CELL_PARAMETERS angstrom
-5.055 0.484 -0.420
-3.049 -1.885 3.621
-2.524 3.156 3.103
ATOMIC_POSITIONS crystal
Sb 0.250 0.250 0.250
Tl 0.500 0.500 0.500
Sb 0.000 0.000 0.000
W 0.750 0.750 0.750
```

formation energy (no corrections)	1.039	eV/atom
distance to the lowest polymorph of the same formula	784	meV per atom
DOS at the Fermi energy	0.976	states/eV per atom
symmetry	No. 216
DFT total energy	-4.852	eV per atom